1.
The following is a DFT calculation (PBE-GGA) of an optimized crystal structure of BeCdP. Values from VASP.

Summary:
Formation energy in eV/f.u.: -0.044
Magnetic moment in μB/f.u.: 0.000
SG: C2/m, No. 12

The structure in Quantum ESPRESSO input format:
```
&SYSTEM
  ibrav = 0, nat = 12, ntyp = 3
/
ATOMIC_SPECIES
P 30.97 P.upf
Be 9.01 Be.upf
Cd 112.41 Cd.upf
CELL_PARAMETERS angstrom
5.527 0.000 0.015
0.000 3.669 0.000
-5.156 0.000 10.663
ATOMIC_POSITIONS crystal
P 0.862 0.000 0.336
P 0.138 0.000 0.664
P 0.862 0.500 0.836
P 0.138 0.500 0.164
Be 0.945 0.000 0.172
Be 0.055 0.000 0.828
Be 0.945 0.500 0.672
Be 0.055 0.500 0.328
Cd 0.423 0.000 0.099
Cd 0.577 0.000 0.901
Cd 0.423 0.500 0.599
Cd 0.577 0.500 0.401
```


2.
The following is a DFT calculation (PBE-GGA) of an optimized crystal structure of TaRh2Cl. Values from VASP.

Summary:
Magnetic moment in μB/f.u.: 0.000
SG: C2/m, No. 12
DFT total energy in eV/atom: -6.810

The structure in Quantum ESPRESSO input format:
```
&SYSTEM
  ibrav = 0, nat = 4, ntyp = 3
/
ATOMIC_SPECIES
Cl 35.45 Cl.upf
Rh 102.91 Rh.upf
Ta 180.95 Ta.upf
CELL_PARAMETERS angstrom
5.465 0.068 0.201
-2.385 4.292 -0.057
0.694 0.921 2.712
ATOMIC_POSITIONS crystal
Cl 0.500 0.500 0.000
Rh 0.000 0.000 0.000
Rh 0.500 0.000 0.500
Ta 0.000 0.500 0.500
```


3.
The following is a DFT calculation (PBE-GGA) of an optimized crystal structure of Mg3VPt. Values from VASP.

Summary:
Formation energy in eV/f.u.: 5.653
Magnetic moment in μB/f.u.: 4.547
SG: Pm-3m, No. 221

The structure in Quantum ESPRESSO input format:
```
&SYSTEM
  ibrav = 0, nat = 5, ntyp = 3
/
ATOMIC_SPECIES
Mg 24.30 Mg.upf
Pt 195.08 Pt.upf
V 50.94 V.upf
CELL_PARAMETERS angstrom
-4.587 1.590 -0.967
-1.846 -3.564 2.897
0.234 3.045 3.896
ATOMIC_POSITIONS crystal
Mg 0.000 0.500 0.000
Mg 0.000 0.000 0.500
Mg 0.500 0.000 0.000
Pt 0.500 0.500 0.500
V 0.000 0.000 0.000
```


4.
The following is a DFT calculation (PBE-GGA) of an optimized crystal structure of PmDy2HoSe4. Values from VASP.

Summary:
Magnetic moment in μB/f.u.: 0.000
SG: P2/m, No. 10
DFT total energy in eV/atom: -5.818

The structure in Quantum ESPRESSO input format:
```
&SYSTEM
  ibrav = 0, nat = 8, ntyp = 4
/
ATOMIC_SPECIES
Pm 145.00 Pm.upf
Dy 162.50 Dy.upf
Ho 164.93 Ho.upf
Se 78.96 Se.upf
CELL_PARAMETERS angstrom
-1.214 0.560 3.819
0.270 -7.001 1.112
6.567 -1.719 2.339
ATOMIC_POSITIONS crystal
Pm 0.500 0.500 0.000
Dy 0.000 0.000 0.000
Dy 0.500 0.000 0.500
Ho 0.000 0.500 0.500
Se 0.000 0.757 0.742
Se 0.000 0.243 0.258
Se 0.500 0.752 0.255
Se 0.500 0.248 0.745
```


5.
The following is a DFT calculation (PBE-GGA) of an optimized crystal structure of BeVAu. Values from VASP.

Summary:
Formation energy in eV/f.u.: 0.067
Magnetic moment in μB/f.u.: 0.000
SG: Pm, No. 6

The structure in Quantum ESPRESSO input format:
```
&SYSTEM
  ibrav = 0, nat = 6, ntyp = 3
/
ATOMIC_SPECIES
Be 9.01 Be.upf
Au 196.97 Au.upf
V 50.94 V.upf
CELL_PARAMETERS angstrom
3.222 0.000 -0.009
0.000 3.157 0.000
3.233 -0.002 7.984
ATOMIC_POSITIONS crystal
Be 0.192 0.012 0.977
Be 0.193 0.511 0.477
Au 0.867 0.511 0.805
Au 0.519 0.511 0.150
V 0.815 0.011 0.355
V 0.572 0.011 0.600
```


6.
The following is a DFT calculation (PBE-GGA) of an optimized crystal structure of YHfBr2. Values from VASP.

Summary:
Magnetic moment in μB/f.u.: 0.000
SG: I-42d, No. 122
DFT total energy in eV/atom: -5.318

The structure in Quantum ESPRESSO input format:
```
&SYSTEM
  ibrav = 0, nat = 8, ntyp = 3
/
ATOMIC_SPECIES
Y 88.91 Y.upf
Hf 178.49 Hf.upf
Br 79.90 Br.upf
CELL_PARAMETERS angstrom
4.783 0.000 0.000
0.000 4.783 0.000
2.391 2.391 9.373
ATOMIC_POSITIONS crystal
Y 0.500 0.500 0.000
Y 0.250 0.750 0.500
Hf 0.000 0.000 0.000
Hf 0.750 0.250 0.500
Br 0.640 0.125 0.250
Br 0.110 0.625 0.250
Br 0.375 0.360 0.750
Br 0.875 0.890 0.750
```


7.
The following is a DFT calculation (PBE-GGA) of an optimized crystal structure of YAl2Sb. Values from VASP.

Summary:
Magnetic moment in μB/f.u.: 0.137
SG: P4/mmm, No. 123
DFT total energy in eV/atom: -4.726

The structure in Quantum ESPRESSO input format:
```
&SYSTEM
  ibrav = 0, nat = 4, ntyp = 3
/
ATOMIC_SPECIES
Y 88.91 Y.upf
Sb 121.76 Sb.upf
Al 26.98 Al.upf
CELL_PARAMETERS angstrom
-3.324 -0.988 -1.386
1.486 -0.194 -3.421
1.452 -6.264 0.985
ATOMIC_POSITIONS crystal
Y 0.500 0.500 0.750
Sb 0.500 0.500 0.250
Al 0.000 0.000 0.033
Al 0.000 0.000 0.467
```


8.
The following is a DFT calculation (PBE-GGA) of an optimized crystal structure of LiNiSe2. Values from VASP.

Summary:
Magnetic moment in μB/f.u.: 0.055
SG: Immm, No. 71
DFT total energy in eV/atom: -4.037

The structure in Quantum ESPRESSO input format:
```
&SYSTEM
  ibrav = 0, nat = 4, ntyp = 3
/
ATOMIC_SPECIES
Li 6.94 Li.upf
Ni 58.69 Ni.upf
Se 78.96 Se.upf
CELL_PARAMETERS angstrom
5.097 -0.154 0.092
0.377 5.085 -0.092
-1.576 -3.754 3.071
ATOMIC_POSITIONS crystal
Li 0.250 0.750 0.500
Ni 0.750 0.250 0.500
Se 0.957 0.957 0.000
Se 0.543 0.543 0.000
```